[1]
First-principles (PBE) data for ReSeS2N after structural relaxation, as listed in Alexandria.

The structure belongs to space group P4/mmm (No. 123); the cell edges are 4.852, 4.852 and 3.528 Å and the angles 90.00°, 90.00° and 90.00°. The distinct sites, in fractional coordinates, are Re at (0.000, 0.000, 0.000), Se at (0.500, 0.500, 0.500), S at (0.000, 0.500, 0.500) and N at (0.500, 0.500, 0.000).

The energy relative to the lowest polymorph listed for this composition is 1.268 eV per atom. The value obtained for the density of states at the Fermi level is 2.6 states/eV/cell. The value obtained for the raw formation energy is 1.76 eV/atom.

[2]
First-principles (PBE) data for LiFe2As after structural relaxation, as listed in Alexandria.

The structure belongs to space group C2/m (No. 12); the cell edges are 5.163, 8.588 and 2.680 Å and the angles 90.00°, 119.63° and 90.00°. The distinct sites, in fractional coordinates, are Li at (0.000, 0.000, 0.000), Fe at (0.250, 0.250, 0.500) and As at (0.000, 0.500, 0.000).

The value obtained for the density of states at the Fermi level is 5.0 states/eV/cell. The formation enthalpy at 0 K comes out at 0.30 eV/f.u.

[3]
First-principles (PBE) data for TmSc2Zn6 after structural relaxation, as listed in Alexandria.

The structure belongs to space group P6/mmm (No. 191); the cell edges are 7.6056, 7.6056 and 3.2744 Å and the angles 90.00°, 90.00° and 120.00°. The distinct sites, in fractional coordinates, are Tm at (0.0000, 0.0000, 0.0000), Sc at (0.3333, 0.6667, 0.0000) and Zn at (0.0000, 0.3366, 0.5000).

The value obtained for the density of states at the Fermi level is 5.4 states/eV/cell. The formation enthalpy at 0 K comes out at -3.24 eV/f.u.

[4]
First-principles (PBE) data for Hg2Bi2Pb after structural relaxation, as listed in Alexandria.

The structure belongs to space group I4/mmm (No. 139); the cell edges are 4.317, 4.317 and 17.125 Å and the angles 90.00°, 90.00° and 90.00°. The distinct sites, in fractional coordinates, are Hg at (0.000, 0.500, 0.250), Bi at (0.000, 0.000, 0.091) and Pb at (0.000, 0.000, 0.500).

The energy relative to the lowest polymorph listed for this composition is 0.039 eV per atom. The value obtained for the density of states at the Fermi level is 5.8 states/eV/cell. The formation enthalpy at 0 K comes out at 0.47 eV/f.u.

[5]
First-principles (PBE) data for TlBi4Pt2 after structural relaxation, as listed in Alexandria.

The structure belongs to space group Fddd (No. 70, origin choice 2); the cell edges are 12.154, 12.211 and 12.234 Å and the angles 90.00°, 90.00° and 90.00°. The distinct sites, in fractional coordinates, are Tl at (0.125, 0.125, 0.125), Bi at (0.021, 0.022, 0.728) and Pt at (0.000, 0.000, 0.500).

The value obtained for the density of states at the Fermi level is 24.8 states/eV/cell. The formation enthalpy at 0 K comes out at -0.99 eV/f.u.

[6]
First-principles (PBE) data for CaVS after structural relaxation, as listed in Alexandria.

The structure belongs to space group P1 (No. 1); the cell edges are 3.458, 4.112 and 8.677 Å and the angles 95.52°, 96.97° and 91.00°. The distinct sites, in fractional coordinates, are Ca at (0.000, 0.000, 0.000), Ca at (0.120, 0.574, 0.372), V at (0.228, 0.089, 0.672), V at (0.488, 0.469, 0.788), S at (0.531, 0.517, 0.089) and S at (0.649, 0.097, 0.465).

The energy relative to the lowest polymorph listed for this composition is 0.102 eV per atom. The value obtained for the density of states at the Fermi level is 0.8 states/eV/cell. The value obtained for the raw formation energy is -0.76 eV/atom.

[7]
First-principles (PBE) data for TbPa2MnN5 after structural relaxation, as listed in Alexandria.

The structure belongs to space group P4/mbm (No. 127); the cell edges are 6.535, 6.535 and 5.590 Å and the angles 90.00°, 90.00° and 90.00°. The distinct sites, in fractional coordinates, are Tb at (0.000, 0.000, 0.000), Pa at (0.171, 0.329, 0.500), Mn at (0.000, 0.500, 0.000), N at (0.000, 0.000, 0.500) and N at (0.149, 0.649, 0.238).

The value obtained for the density of states at the Fermi level is 0.8 states/eV/cell. The value obtained for the raw formation energy is -1.28 eV/atom.

[8]
First-principles (PBE) data for CeMgF4 after structural relaxation, as listed in Alexandria.

The structure belongs to space group Cmc2_1 (No. 36); the cell edges are 3.785, 15.062 and 6.088 Å and the angles 90.00°, 90.00° and 90.00°. The distinct sites, in fractional coordinates, are Ce at (0.000, 0.168, 0.000), Mg at (0.000, 0.426, 0.065), F at (0.000, 0.073, 0.622), F at (0.000, 0.303, 0.219), F at (0.000, 0.355, 0.791) and F at (0.000, 0.456, 0.418).

The value obtained for the density of states at the Fermi level is 28.1 states/eV/cell. The value obtained for the raw formation energy is -3.35 eV/atom.

[9]
First-principles (PBE) data for Ce4SmSc after structural relaxation, as listed in Alexandria.

The structure belongs to space group F-43m (No. 216); the cell edges are 8.842, 8.842 and 8.842 Å and the angles 90.00°, 90.00° and 90.00°. The distinct sites, in fractional coordinates, are Ce at (0.120, 0.120, 0.380), Sm at (0.000, 0.000, 0.000) and Sc at (0.250, 0.250, 0.750).

The value obtained for the density of states at the Fermi level is 75.1 states/eV/cell. The formation enthalpy at 0 K comes out at 1.44 eV/f.u.

[10]
First-principles (PBE) data for TaInTcIr after structural relaxation, as listed in Alexandria.

The structure belongs to space group F-43m (No. 216); the cell edges are 6.423, 6.423 and 6.423 Å and the angles 90.00°, 90.00° and 90.00°. The distinct sites, in fractional coordinates, are Ta at (0.000, 0.000, 0.000), In at (0.000, 0.000, 0.500), Tc at (0.250, 0.250, 0.750) and Ir at (0.250, 0.250, 0.250).

The value obtained for the density of states at the Fermi level is 0.9 states/eV/cell. The formation enthalpy at 0 K comes out at -1.11 eV/f.u.

[11]
First-principles (PBE) data for HoCd3Ag3 after structural relaxation, as listed in Alexandria.

The structure belongs to space group R-3 (No. 148, hexagonal axes); the cell edges are 7.3422, 7.3422 and 19.5034 Å and the angles 90.00°, 90.00° and 120.00°. The distinct sites, in fractional coordinates, are Ho at (0.0000, 0.0000, 0.1570), Cd at (0.0426, 0.4373, 0.3763) and Ag at (0.0103, 0.2372, 0.5592).

The energy relative to the lowest polymorph listed for this composition is 0.000 eV per atom. The value obtained for the density of states at the Fermi level is 11.4 states/eV/cell. The formation enthalpy at 0 K comes out at -0.95 eV/f.u.

[12]
First-principles (PBE) data for Li2CdCo after structural relaxation, as listed in Alexandria.

The structure belongs to space group Immm (No. 71); the cell edges are 2.867, 4.601 and 9.178 Å and the angles 90.00°, 90.00° and 90.00°. The distinct sites, in fractional coordinates, are Li at (0.000, 0.000, 0.233), Cd at (0.000, 0.500, 0.000) and Co at (0.000, 0.500, 0.500).

The value obtained for the density of states at the Fermi level is 4.4 states/eV/cell. The formation enthalpy at 0 K comes out at 0.47 eV/f.u.